No. 1
Here is an optimized crystal structure of Zr2AlFe from Alexandria. Energies are from PBE.

a b c (Å): 4.5184 4.5184 3.5302
angles (deg): 90.00 90.00 90.00
Positions (direct):
Zr  0.0000  0.5000  0.0000
Zr  0.5000  0.0000  0.0000
Al  0.0000  0.0000  0.5000
Fe  0.5000  0.5000  0.5000

Summary:
V (Å³/cell): 72.1
E_form (eV/atom): -0.231
SG: P4/mmm
ρ (g/cm3): 6.11

***

No. 2
Here is an optimized crystal structure of Zr2Al3Fe from Alexandria. Energies are from PBE.

a b c (Å): 5.1917 5.1917 5.1917
angles (deg): 61.22 61.22 61.22
Positions (direct):
Zr  0.1276  0.1276  0.1276
Zr  0.8724  0.8724  0.8724
Al  0.0000  0.5000  0.5000
Al  0.5000  0.0000  0.5000
Al  0.5000  0.5000  0.0000
Fe  0.5000  0.5000  0.5000

Summary:
V (Å³/cell): 101.7
E_form (eV/atom): -0.473
SG: R-3m
ρ (g/cm3): 5.21

***

No. 3
Here is an optimized crystal structure of ZrAl3Fe from Alexandria. Energies are from PBE.

a b c (Å): 5.0818 5.0818 5.0818
angles (deg): 90.00 90.00 90.00
Positions (direct):
Zr  0.0000  0.0000  0.0000
Al  0.0000  0.0000  0.5000
Al  0.0000  0.5000  0.0000
Al  0.5000  0.0000  0.0000
Fe  0.5000  0.5000  0.5000

Summary:
V (Å³/cell): 131.2
E_form (eV/atom): 1.696
Energy relative to the lowest polymorph listed for this composition (meV/atom): 1726.4
SG: Pm-3m
ρ (g/cm3): 2.89

***

No. 4
Here is an optimized crystal structure of Zr3AlFe8 from Alexandria. Energies are from PBE.

a b c (Å): 8.5189 8.5189 8.5189
angles (deg): 33.51 33.51 33.51
Positions (direct):
Zr  0.0000  0.0000  0.0000
Zr  0.1274  0.1274  0.1274
Zr  0.6207  0.6207  0.6207
Al  0.4980  0.4980  0.4980
Fe  0.0607  0.0607  0.5616
Fe  0.0607  0.5616  0.0607
Fe  0.0649  0.5622  0.5622
Fe  0.3121  0.3121  0.3121
Fe  0.5616  0.0607  0.0607
Fe  0.5622  0.0649  0.5622
Fe  0.5622  0.5622  0.0649
Fe  0.8122  0.8122  0.8122

Summary:
V (Å³/cell): 167.9
E_form (eV/atom): -0.291
SG: R3m
ρ (g/cm3): 7.39

***

No. 5
Here is an optimized crystal structure of ZrAl6Fe2 from Alexandria. Energies are from PBE.

a b c (Å): 7.6666 7.6666 2.7394
angles (deg): 90.00 90.00 120.00
Positions (direct):
Zr  0.0000  0.0000  0.0000
Al  0.0000  0.3254  0.5000
Al  0.0000  0.6251  0.0000
Al  0.3254  0.0000  0.5000
Al  0.3749  0.3749  0.0000
Al  0.6251  0.0000  0.0000
Al  0.6746  0.6746  0.5000
Fe  0.3333  0.6667  0.5000
Fe  0.6667  0.3333  0.5000

Summary:
V (Å³/cell): 139.4
E_form (eV/atom): 0.005
SG: P-62m
ρ (g/cm3): 4.34

***

No. 6
Here is an optimized crystal structure of Zr2AlFe from Alexandria. Energies are from PBE.

a b c (Å): 3.4240 4.1077 5.4650
angles (deg): 90.00 108.14 90.00
Positions (direct):
Zr  0.0000  0.0000  0.0000
Zr  0.3009  0.5000  0.6047
Al  0.5873  0.5000  0.1750
Fe  0.7394  0.0000  0.4823

Summary:
V (Å³/cell): 73.0
E_form (eV/atom): -0.233
SG: Pm
ρ (g/cm3): 6.03

***

No. 7
Here is an optimized crystal structure of Zr4AlFe from Alexandria. Energies are from PBE.

a b c (Å): 5.6488 5.6488 5.6488
angles (deg): 60.00 60.00 60.00
Positions (direct):
Zr  0.1252  0.1252  0.1252
Zr  0.1252  0.1252  0.6243
Zr  0.1252  0.6243  0.1252
Zr  0.6243  0.1252  0.1252
Al  0.7500  0.7500  0.7500
Fe  0.5000  0.5000  0.5000

Summary:
V (Å³/cell): 127.5
E_form (eV/atom): 0.488
Energy relative to the lowest polymorph listed for this composition (meV/atom): 703.2
SG: F-43m
ρ (g/cm3): 5.83

***

No. 8
Here is an optimized crystal structure of Zr4Al8Fe from Alexandria. Energies are from PBE.

a b c (Å): 7.1313 7.1313 7.1313
angles (deg): 102.97 102.97 123.44
Positions (direct):
Zr  0.0000  0.0000  0.5000
Zr  0.0000  0.5000  0.0000
Zr  0.5000  0.0000  0.0000
Zr  0.5000  0.5000  0.5000
Al  0.0000  0.2424  0.2424
Al  0.0000  0.7576  0.7576
Al  0.2017  0.5000  0.7017
Al  0.2424  0.0000  0.2424
Al  0.5000  0.2017  0.7017
Al  0.5000  0.7983  0.2983
Al  0.7576  0.0000  0.7576
Al  0.7983  0.5000  0.2983
Fe  0.5000  0.5000  0.0000

Summary:
V (Å³/cell): 266.5
E_form (eV/atom): 0.000
SG: I4/mmm
ρ (g/cm3): 3.97

***

No. 9
Here is an optimized crystal structure of ZrAl2Fe2 from Alexandria. Energies are from PBE.

a b c (Å): 7.3462 7.3462 2.7032
angles (deg): 90.00 90.00 90.00
Positions (direct):
Zr  0.0000  0.0000  0.0000
Zr  0.5000  0.5000  0.0000
Al  0.1290  0.3710  0.0000
Al  0.3710  0.8710  0.0000
Al  0.6290  0.1290  0.0000
Al  0.8710  0.6290  0.0000
Fe  0.1639  0.6639  0.5000
Fe  0.3361  0.1639  0.5000
Fe  0.6639  0.8361  0.5000
Fe  0.8361  0.3361  0.5000

Summary:
V (Å³/cell): 145.9
E_form (eV/atom): -0.220
Energy relative to the lowest polymorph listed for this composition (meV/atom): 20.1
SG: P4/mbm
ρ (g/cm3): 5.85

***

No. 10
Here is an optimized crystal structure of Zr2AlFe from Alexandria. Energies are from PBE.

a b c (Å): 3.2594 3.2725 6.7472
angles (deg): 90.00 90.11 90.00
Positions (direct):
Zr  0.0011  0.0000  0.2724
Zr  0.9989  0.0000  0.7276
Al  0.5000  0.5000  0.0000
Fe  0.5000  0.5000  0.5000

Summary:
V (Å³/cell): 72.0
E_form (eV/atom): -0.280
SG: P2/m
ρ (g/cm3): 6.12

***

No. 11
Here is an optimized crystal structure of ZrAl2Fe from Alexandria. Energies are from PBE.

a b c (Å): 4.4394 4.4394 4.4394
angles (deg): 60.00 60.00 60.00
Positions (direct):
Zr  0.0000  0.0000  0.0000
Al  0.2500  0.2500  0.2500
Al  0.7500  0.7500  0.7500
Fe  0.5000  0.5000  0.5000

Summary:
V (Å³/cell): 61.9
E_form (eV/atom): -0.116
SG: Fm-3m
ρ (g/cm3): 5.40

***

No. 12
Here is an optimized crystal structure of ZrAl2Fe2 from Alexandria. Energies are from PBE.

a b c (Å): 5.5628 5.5628 5.5628
angles (deg): 138.16 138.16 60.66
Positions (direct):
Zr  0.0000  0.0000  0.0000
Al  0.2500  0.7500  0.5000
Al  0.7500  0.2500  0.5000
Fe  0.3946  0.3946  0.0000
Fe  0.6054  0.6054  0.0000

Summary:
V (Å³/cell): 75.8
E_form (eV/atom): -0.162
Energy relative to the lowest polymorph listed for this composition (meV/atom): 78.0
SG: I4/mmm
ρ (g/cm3): 5.63